Entry from Alexandria: crystalline TcSbI2F at its relaxed geometry (PBE).

Formation energy (no corrections): 0.219 eV per atom
DFT total energy: -18.4 eV/cell

Cell lengths 5.406, 5.406, 5.146 Å; angles 90.00, 90.00, 90.00 degrees
Space group P4/mmm (No. 123)
Unique sites:
Tc 0.000 0.000 0.000 [1 per cell]
Sb 0.000 0.000 0.500 [1 per cell]
I 0.000 0.500 0.000 [2 per cell]
F 0.500 0.500 0.500 [1 per cell]